Arrangement P

Compound: GeBiBr5
Source: Alexandria via LeMat-Bulk
Functional: GGA-PBE
Structure: optimized geometry

Unit cell a=9.957 b=10.199 c=6.262 alpha=90.00 beta=90.00 gamma=90.00
Space group Imm2 (No. 44)
Symmetry-distinct sites (fractional):
Ge (0.000, 0.000, 0.000)
Bi (0.000, 0.500, 0.289)
Br (0.000, 0.000, 0.617)
Br (0.000, 0.283, 0.024)
Br (0.215, 0.500, 0.567)

Values from the calculation:
Theoretical density = 3.6 g cm⁻³
Volume = 635.9 Å³/cell
Magnetization = 0.00 μB per cell

***

Arrangement Q

Compound: GeBiBr5
Source: Alexandria via LeMat-Bulk
Functional: GGA-PBE
Structure: optimized geometry

Unit cell a=9.790 b=4.154 c=14.123 alpha=90.00 beta=97.59 gamma=90.00
Space group P2_1/m (No. 11)
Symmetry-distinct sites (fractional):
Ge (0.145, 0.250, 0.435)
Bi (0.381, 0.750, 0.118)
Br (0.092, 0.250, 0.606)
Br (0.133, 0.750, 0.170)
Br (0.315, 0.250, 0.967)
Br (0.322, 0.750, 0.468)
Br (0.494, 0.250, 0.246)

Values from the calculation:
Theoretical density = 4.0 g cm⁻³
Volume = 569.4 Å³/cell
Magnetization = 0.00 μB per cell

***

We find arrangement Q to be the most stable, with the next structure 0.081 eV/atom higher.